1.
A relaxed structure of PuThZn, computed with GGA-PBE.

Its energy of formation from the pure elements is 0.077 eV/atom. The uncorrected energy is -22.8 eV per formula unit. As for the total moment: 5.90 μB per formula unit. As for the energy above the most stable polymorph in this dataset: 73 meV/atom.

The space group is P3m1 (No. 156) and the conventional cell measures 5.0414, 5.0414 and 3.3523 Å, with angles of 90.00, 90.00 and 120.00 degrees. The inequivalent atoms are Pu at (0.0000, 0.0000, 0.0000), Th at (0.3333, 0.6667, 0.3743) and Zn at (0.6667, 0.3333, 0.7353).



2.
A relaxed structure of Cd4Hg5Pb2, computed with GGA-PBE.

Its energy of formation from the pure elements is 0.054 eV/atom. The uncorrected energy is -12.0 eV per formula unit. As for the total moment: 0.00 μB per formula unit.

The space group is C2/m (No. 12) and the conventional cell measures 10.960, 6.268 and 9.897 Å, with angles of 90.00, 119.04 and 90.00 degrees. The inequivalent atoms are Cd at (0.198, 0.000, 0.432), Cd at (0.230, 0.000, 0.138), Hg at (0.000, 0.500, 0.500), Hg at (0.019, 0.259, 0.847) and Pb at (0.227, 0.000, 0.754).



3.
A relaxed structure of Dy3ZnSe2, computed with GGA-PBE.

The calculation puts the formation energy without anion corrections at -7.7 eV/f.u. The uncorrected energy is -29.7 eV per formula unit. As for the total moment: 0.00 μB per formula unit.

The space group is Immm (No. 71) and the conventional cell measures 3.973, 5.804 and 12.672 Å, with angles of 90.00, 90.00 and 90.00 degrees. The inequivalent atoms are Dy at (0.000, 0.000, 0.000), Dy at (0.000, 0.000, 0.332), Zn at (0.000, 0.500, 0.000) and Se at (0.000, 0.500, 0.333).



4.
A relaxed structure of Ba2MgIn3Hg12, computed with GGA-PBE.

Its energy of formation from the pure elements is -0.142 eV/atom. The uncorrected energy is -19.8 eV per formula unit. As for the total moment: 0.00 μB per formula unit.

The space group is R-3m (No. 166, hexagonal axes) and the conventional cell measures 10.9233, 10.9233 and 15.2772 Å, with angles of 90.00, 90.00 and 120.00 degrees. The inequivalent atoms are Ba at (0.0000, 0.0000, 0.2042), Mg at (0.0000, 0.0000, 0.5000), In at (0.0000, 0.5000, 0.0000), Hg at (0.0225, 0.5112, 0.2036) and Hg at (0.0299, 0.5149, 0.6029).



5.
A relaxed structure of KLiPtW2, computed with GGA-PBE.

Its energy of formation from the pure elements is 1.409 eV/atom. The uncorrected energy is -27.9 eV per formula unit. As for the total moment: 3.64 μB per formula unit.

The space group is P4/mmm (No. 123) and the conventional cell measures 4.946, 4.946 and 5.196 Å, with angles of 90.00, 90.00 and 90.00 degrees. The inequivalent atoms are K at (0.000, 0.000, 0.000), Li at (0.500, 0.500, 0.000), Pt at (0.500, 0.500, 0.500) and W at (0.000, 0.500, 0.500).



6.
A relaxed structure of POs, computed with GGA-PBE.

Its energy of formation from the pure elements is 0.137 eV/atom. The uncorrected energy is -16.4 eV per formula unit. As for the total moment: 0.00 μB per formula unit.

The space group is R-3m (No. 166, hexagonal axes) and the conventional cell measures 3.8961, 3.8961 and 15.2564 Å, with angles of 90.00, 90.00 and 120.00 degrees. The inequivalent atoms are P at (0.0000, 0.0000, 0.2419) and Os at (0.0000, 0.0000, 0.3970).



> Among the records above, which one has the highest uncorrected energy?

Cd4Hg5Pb2